An optimized crystal structure of CdTcRh3, computed with GGA-PBE.

Unit cell a=4.6826 b=4.6826 c=4.6826 alpha=90.00 beta=90.00 gamma=90.00
Last column: nearest neighbours and their distance in Å.
Fractional coordinates of all 5 atoms:
Rh1 0.5000 0.0000 0.0000  2 Tc 2.34
Rh2 0.0000 0.0000 0.5000  2 Tc 2.34
Rh3 0.0000 0.5000 0.0000  2 Tc 2.34
Cd1 0.5000 0.5000 0.5000  12 Rh 3.31
Tc1 0.0000 0.0000 0.0000  6 Rh 2.34

The calculation puts the energy above the most stable polymorph in this dataset at 0.0 meV/atom. The energy of formation from the pure elements is 0.978 eV per atom. Its total energy is -5.69 eV/atom. The density of states at the Fermi level is 4.65 states/eV per cell. The space-group type is Pm-3m, No. 221.

An optimized crystal structure of Cd2TcRh, computed with GGA-PBE.

Unit cell a=9.5151 b=9.5151 c=9.5151 alpha=17.48 beta=17.48 gamma=17.48
Last column: nearest neighbours and their distance in Å.
Fractional coordinates of all 4 atoms:
Cd1 0.5018 0.5018 0.5018  3 Rh 2.84, 6 Cd 2.89, 3 Tc 2.92
Cd2 0.9982 0.9982 0.9982  3 Rh 2.84, 6 Cd 2.89, 3 Tc 2.92
Tc1 0.7500 0.7500 0.7500  6 Tc 2.89, 6 Cd 2.92
Rh1 0.2500 0.2500 0.2500  6 Cd 2.84, 6 Rh 2.89

The calculation puts the energy above the most stable polymorph in this dataset at 261.3 meV/atom. The energy of formation from the pure elements is 0.290 eV per atom. Its total energy is -4.60 eV/atom. The density of states at the Fermi level is 4.25 states/eV per cell. The space-group type is R-3m, No. 166.

An optimized crystal structure of CdTc3Rh, computed with GGA-PBE.

Unit cell a=4.6838 b=4.6838 c=4.6838 alpha=90.00 beta=90.00 gamma=90.00
Last column: nearest neighbours and their distance in Å.
Fractional coordinates of all 5 atoms:
Tc1 0.5000 0.0000 0.0000  2 Rh 2.34
Tc2 0.0000 0.5000 0.0000  2 Rh 2.34
Tc3 0.0000 0.0000 0.5000  2 Rh 2.34
Rh1 0.0000 0.0000 0.0000  6 Tc 2.34
Cd1 0.5000 0.5000 0.5000  12 Tc 3.31

The calculation puts the energy above the most stable polymorph in this dataset at 0.0 meV/atom. The energy of formation from the pure elements is 1.691 eV per atom. Its total energy is -6.18 eV/atom. The density of states at the Fermi level is 6.39 states/eV per cell. The space-group type is Pm-3m, No. 221.